Computed, not measured: a geometry-optimized LiCoPO4 structure at the PBE with a Hubbard U level of DFT.

Cell: 10.087 5.893 4.688 Å, 90.00 90.00 90.00°
Site moments in Bohr magnetons follow the coordinates.
Positions (direct):
1 O 0.662 0.459 0.226  0.06
2 P 0.908 0.750 0.585  0.01
3 Li 0.500 0.500 0.500  0.00
4 O 0.449 0.250 0.208  0.04
5 O 0.904 0.750 0.258  0.03
6 P 0.592 0.250 0.085  0.01
7 Li 0.500 0.000 0.500  0.00
8 O 0.838 0.541 0.726  0.06
9 P 0.092 0.250 0.415  0.01
10 O 0.404 0.750 0.242  0.03
11 O 0.949 0.250 0.292  0.04
12 Co 0.275 0.250 0.985  2.75
13 O 0.051 0.750 0.708  0.04
14 Li 0.000 0.000 0.000  0.00
15 O 0.162 0.041 0.274  0.06
16 O 0.662 0.041 0.226  0.06
17 Co 0.225 0.750 0.485  2.75
18 Co 0.775 0.250 0.515  2.75
19 O 0.338 0.541 0.774  0.06
20 O 0.096 0.250 0.742  0.03
21 Li 0.000 0.500 0.000  0.00
22 Co 0.725 0.750 0.015  2.75
23 P 0.408 0.750 0.915  0.01
24 O 0.838 0.959 0.726  0.06
25 O 0.338 0.959 0.774  0.06
26 O 0.551 0.750 0.792  0.04
27 O 0.162 0.459 0.274  0.06
28 O 0.596 0.250 0.758  0.03

total moment = 3.00 μB per formula unit
energy relative to the lowest polymorph listed for this composition = 0.001 eV/atom